1.
VASP calculation (PBE) on a relaxed AcGaCuAu6 crystal.

The space group is Imma (No. 74) and the conventional cell measures 8.460, 8.529 and 11.972 Å, with angles of 90.00, 90.00 and 90.00 degrees. The inequivalent atoms are Ac at (0.000, 0.250, 0.118), Ga at (0.000, 0.000, 0.500), Cu at (0.250, 0.250, 0.750), Au at (0.000, 0.250, 0.381), Au at (0.000, 0.250, 0.864) and Au at (0.244, 0.010, 0.627).

The value obtained for the energy is -128.2 eV for the cell shown. The magnetization comes out at 0.000 μB per cell.

2.
VASP calculation (PBE) on a relaxed Sc2HgCl crystal.

The space group is Immm (No. 71) and the conventional cell measures 3.610, 5.917 and 8.321 Å, with angles of 90.00, 90.00 and 90.00 degrees. The inequivalent atoms are Sc at (0.000, 0.000, 0.215), Hg at (0.000, 0.500, 0.000) and Cl at (0.000, 0.500, 0.500).

The value obtained for the energy is -34.3 eV for the cell shown. The magnetization comes out at 0.000 μB per cell. The calculation puts the uncorrected formation energy at -586 meV per atom. The excess energy over the best structure of this formula in the dataset is 207 meV per atom.

Quick rundown of calculated volume, same order as above: 863.9, 177.7 Å³ per cell